1.
PBE ZrCuSi2, relaxed; calculated total energy = -22.95 eV for the cell shown
1.0
0.000 3.190 3.190
3.190 0.000 3.190
3.190 3.190 0.000
Zr Cu Si
1 1 2
Cartesian
0.000 0.000 0.000
4.786 4.786 4.786
1.595 1.595 1.595
3.190 3.190 3.190

2.
PBE Zr2Cu2Si, relaxed; calculated total energy = -31.14 eV for the cell shown
1.0
-1.633 1.633 8.192
1.633 -1.633 8.192
1.633 1.633 -8.192
Zr Cu Si
2 2 1
Cartesian
0.000 0.000 1.732
0.000 0.000 14.652
1.633 0.000 4.096
0.000 1.633 4.096
0.000 0.000 8.192

3.
PBE ZrCu6Si2, relaxed; calculated total energy = -46.21 eV for the cell shown
1.0
3.747 0.000 0.000
0.000 3.747 0.000
0.000 0.000 8.611
Zr Cu Si
1 6 2
Cartesian
0.000 0.000 0.000
0.000 0.000 4.305
0.000 1.873 2.545
0.000 1.873 6.066
1.873 0.000 2.545
1.873 0.000 6.066
1.873 1.873 4.305
1.873 1.873 1.156
1.873 1.873 7.455

4.
PBE Zr2CuSi, relaxed; calculated total energy = -28.19 eV for the cell shown
1.0
3.111 -3.790 0.000
3.111 3.790 0.000
-0.008 0.000 2.985
Zr Cu Si
2 1 1
Cartesian
1.556 1.895 0.000
1.556 -1.895 0.000
-0.004 0.000 1.493
3.107 0.000 1.493

5.
PBE Zr4Cu5Si6, relaxed; calculated total energy = -189.61 eV for the cell shown
1.0
1.955 -8.729 0.000
1.955 8.729 0.000
0.000 0.000 14.101
Zr Cu Si
8 10 12
Cartesian
1.955 8.411 7.051
1.955 8.149 10.775
1.955 5.813 4.302
1.955 5.604 13.273
1.955 -5.604 6.223
1.955 -5.813 11.353
1.955 -8.149 3.724
1.955 -8.411 0.000
1.955 6.117 8.812
1.955 3.442 8.750
1.955 2.731 3.880
1.955 2.564 13.800
1.955 1.088 9.631
1.955 -1.088 2.580
1.955 -2.564 6.750
1.955 -2.731 10.931
1.955 -3.442 1.699
1.955 -6.117 1.761
1.955 6.765 1.634
1.955 4.876 6.877
1.955 4.757 10.703
1.955 1.216 1.826
1.955 1.231 5.756
1.955 1.013 12.033
1.955 -1.013 4.982
1.955 -1.216 8.877
1.955 -1.231 12.807
1.955 -4.757 3.652
1.955 -4.876 13.927
1.955 -6.765 8.685

6.
PBE ZrCuSi2, relaxed; calculated total energy = -24.84 eV for the cell shown
1.0
3.994 0.000 0.000
0.000 3.994 0.000
0.000 0.000 3.815
Zr Cu Si
1 1 2
Cartesian
0.000 0.000 0.000
1.997 1.997 0.000
0.000 1.997 1.908
1.997 0.000 1.908

7.
PBE Zr3CuSi, relaxed; calculated total energy = -33.25 eV for the cell shown
1.0
4.924 0.000 0.000
0.000 4.924 0.000
0.000 0.000 4.924
Zr Cu Si
3 1 1
Cartesian
0.000 0.000 2.462
0.000 2.462 0.000
2.462 0.000 0.000
2.462 2.462 2.462
0.000 0.000 0.000

8.
PBE Zr4CuSi, relaxed; calculated total energy = -40.67 eV for the cell shown
1.0
0.000 3.971 3.971
3.971 0.000 3.971
3.971 3.971 0.000
Zr Cu Si
4 1 1
Cartesian
0.996 0.996 0.996
2.975 2.975 0.996
2.975 0.996 2.975
0.996 2.975 2.975
5.957 5.957 5.957
3.971 3.971 3.971

9.
PBE Zr2CuSi, relaxed; calculated total energy = -28.02 eV for the cell shown
1.0
3.546 0.000 0.000
0.000 3.546 0.000
0.000 0.000 5.636
Zr Cu Si
2 1 1
Cartesian
0.000 0.000 1.388
0.000 0.000 4.248
1.773 1.773 2.818
1.773 1.773 0.000

10.
PBE ZrCuSi3, relaxed; calculated total energy = -23.29 eV for the cell shown
1.0
5.058 0.000 0.000
0.000 5.058 0.000
0.000 0.000 5.058
Zr Cu Si
1 1 3
Cartesian
0.000 0.000 0.000
2.529 2.529 2.529
0.000 0.000 2.529
0.000 2.529 0.000
2.529 0.000 0.000

11.
PBE ZrCuSi3, relaxed; calculated total energy = -26.16 eV for the cell shown
1.0
4.486 0.000 0.000
0.000 4.486 0.000
0.000 0.000 4.486
Zr Cu Si
1 1 3
Cartesian
0.000 0.000 0.000
2.243 2.243 2.243
0.000 2.243 2.243
2.243 0.000 2.243
2.243 2.243 0.000

12.
PBE Zr2CuSi, relaxed; calculated total energy = -57.71 eV for the cell shown
1.0
5.413 0.000 0.000
0.000 3.773 0.000
-2.589 0.000 7.083
Zr Cu Si
4 2 2
Cartesian
0.002 0.943 2.983
-1.283 0.943 6.604
4.108 2.830 0.479
2.823 2.830 4.100
1.396 2.830 1.522
1.429 0.943 5.561
0.055 2.830 5.033
2.770 0.943 2.050

Raw formation energy values (in eV per atom) by entry order: 0.14; -0.09; -0.25; -0.39; -0.51; -0.34; 0.38; 0.51; -0.35; 1.12; 0.55; -0.56.